LiTa2Ag, optimized geometry, DFT PBE; SG = Immm, No. 71; energy above the lowest structure with this stoichiometry = 139 meV/atom; E_form = 286.1 meV per atom
1.0
-1.874 0.539 5.341
3.078 -1.462 4.552
-0.461 3.147 -4.713
Li Ag Ta
1 1 2
Direct
0.250 0.750 0.500 Li
0.750 0.250 0.500 Ag
0.999 0.999 0.000 Ta
0.501 0.501 0.000 Ta